TlRhPb2 after structural relaxation, computed with PBE.

It has space group P2_1/m (No. 11), with a = 3.9330 Å, b = 9.2762 Å, c = 5.8187 Å, α = 90.00°, β = 108.88° and γ = 90.00°. Symmetry generates all atoms from Tl at (0.0760, 0.2500, 0.1475), Rh at (0.2290, 0.7500, 0.4571) and Pb at (0.3575, 0.0555, 0.7205).

The energy of formation from the pure elements comes out at 0 meV per atom. The density of states at the Fermi level is 3.9 states/eV/cell. For the energy, the calculation gives -34.270 eV for the cell shown.

=====

TlRh2Pb2 after structural relaxation, computed with PBE.

It has space group P4/mbm (No. 127), with a = 8.3748 Å, b = 8.3748 Å, c = 3.1174 Å, α = 90.00°, β = 90.00° and γ = 90.00°. Symmetry generates all atoms from Tl at (0.0000, 0.0000, 0.0000), Rh at (0.1423, 0.3577, 0.5000) and Pb at (0.1485, 0.6485, 0.0000).

The energy of formation from the pure elements comes out at 147 meV per atom. The calculation puts the energy above the most stable polymorph in this dataset at 172 meV per atom. The density of states at the Fermi level is 4.2 states/eV/cell. For the energy, the calculation gives -47.500 eV for the cell shown.

=====

Question: Which of these has the highest energy?
Answer: TlRhPb2

=====

Question: What is the energy in the first record?
Answer: -34.270 eV for the cell shown

=====

Question: The lowest energy of formation from the pure elements belongs to which entry?
Answer: TlRhPb2